Entry from Alexandria via LeMat-Bulk: an optimized crystal structure of KCoRe2 (GGA-PBE).

DFT formation energy	837	meV/atom
energy above the lowest structure with this stoichiometry	0.025	eV/atom

a b c (Å): 10.323 10.323 10.323
angles (deg): 15.26 15.26 15.26
Positions (direct):
K (0.000, 0.000, 0.000)
Co (0.500, 0.500, 0.500)
Re (0.233, 0.233, 0.233)
Re (0.767, 0.767, 0.767)


Entry from Alexandria via LeMat-Bulk: an optimized crystal structure of KCo2Re (GGA-PBE).

DFT formation energy	755	meV/atom
energy above the lowest structure with this stoichiometry	0.106	eV/atom

a b c (Å): 4.303 4.303 7.025
angles (deg): 93.70 93.70 36.02
Positions (direct):
K (0.000, 0.000, 0.000)
Co (0.236, 0.236, 0.639)
Co (0.764, 0.764, 0.361)
Re (0.500, 0.500, 0.500)


Entry from Alexandria via LeMat-Bulk: an optimized crystal structure of KCoRe (GGA-PBE).

DFT formation energy	866	meV/atom
energy above the lowest structure with this stoichiometry	0.310	eV/atom

a b c (Å): 6.646 6.646 6.646
angles (deg): 157.12 147.08 40.47
Positions (direct):
K (0.000, 0.000, 0.000)
Co (0.288, 0.288, 0.000)
Re (0.723, 0.723, 0.000)


Entry from Alexandria via LeMat-Bulk: an optimized crystal structure of K2CoRe (GGA-PBE).

DFT formation energy	1485	meV/atom
energy above the lowest structure with this stoichiometry	0.622	eV/atom

a b c (Å): 6.305 6.305 2.667
angles (deg): 90.00 90.00 128.66
Positions (direct):
K (0.000, 0.500, 0.000)
K (0.500, 0.000, 0.000)
Co (0.000, 0.000, 0.500)
Re (0.500, 0.500, 0.500)


Entry from Alexandria via LeMat-Bulk: an optimized crystal structure of KCoRe2 (GGA-PBE).

DFT formation energy	811	meV/atom
energy above the lowest structure with this stoichiometry	0.000	eV/atom

a b c (Å): 2.653 3.801 7.893
angles (deg): 90.00 90.00 90.00
Positions (direct):
K (0.000, 0.000, 0.000)
Co (0.500, 0.500, 0.671)
Re (0.000, 0.000, 0.536)
Re (0.500, 0.500, 0.362)


Entry from Alexandria via LeMat-Bulk: an optimized crystal structure of KCoRe2 (GGA-PBE).

DFT formation energy	866	meV/atom
energy above the lowest structure with this stoichiometry	0.055	eV/atom

a b c (Å): 2.647 2.647 9.843
angles (deg): 90.00 90.00 103.43
Positions (direct):
K (0.000, 0.000, 0.000)
Co (0.000, 0.000, 0.500)
Re (0.500, 0.500, 0.307)
Re (0.500, 0.500, 0.693)


Entry from Alexandria via LeMat-Bulk: an optimized crystal structure of KCoRe2 (GGA-PBE).

DFT formation energy	823	meV/atom
energy above the lowest structure with this stoichiometry	0.012	eV/atom

a b c (Å): 2.730 2.730 9.387
angles (deg): 90.00 90.00 92.68
Positions (direct):
K (0.000, 0.000, 0.000)
Co (0.500, 0.500, 0.706)
Re (0.000, 0.000, 0.543)
Re (0.500, 0.500, 0.319)


Entry from Alexandria via LeMat-Bulk: an optimized crystal structure of KCoRe (GGA-PBE).

DFT formation energy	2109	meV/atom
energy above the lowest structure with this stoichiometry	1.553	eV/atom

a b c (Å): 4.373 4.373 4.373
angles (deg): 60.00 60.00 60.00
Positions (direct):
K (0.000, 0.000, 0.000)
Co (0.250, 0.250, 0.250)
Re (0.500, 0.500, 0.500)


Entry from Alexandria via LeMat-Bulk: an optimized crystal structure of KCo2Re (GGA-PBE).

DFT formation energy	1072	meV/atom
energy above the lowest structure with this stoichiometry	0.422	eV/atom

a b c (Å): 5.850 5.850 5.850
angles (deg): 154.78 129.50 57.27
Positions (direct):
K (0.000, 0.000, 0.000)
Co (0.513, 0.513, 0.000)
Co (0.716, 0.216, 0.500)
Re (0.297, 0.797, 0.500)


Entry from Alexandria via LeMat-Bulk: an optimized crystal structure of K2CoRe (GGA-PBE).

DFT formation energy	1466	meV/atom
energy above the lowest structure with this stoichiometry	0.603	eV/atom

a b c (Å): 6.431 6.431 2.694
angles (deg): 100.23 100.23 128.36
Positions (direct):
K (0.000, 0.500, 0.000)
K (0.500, 0.000, 0.000)
Co (0.000, 0.000, 0.500)
Re (0.500, 0.500, 0.500)


Entry from Alexandria via LeMat-Bulk: an optimized crystal structure of KCo2Re (GGA-PBE).

DFT formation energy	650	meV/atom
energy above the lowest structure with this stoichiometry	0.000	eV/atom

a b c (Å): 2.798 3.115 8.022
angles (deg): 90.00 90.00 90.00
Positions (direct):
K (0.000, 0.000, 0.000)
Co (0.500, 0.500, 0.333)
Co (0.500, 0.500, 0.667)
Re (0.000, 0.000, 0.500)


Entry from Alexandria via LeMat-Bulk: an optimized crystal structure of KCoRe2 (GGA-PBE).

DFT formation energy	888	meV/atom
energy above the lowest structure with this stoichiometry	0.077	eV/atom

a b c (Å): 2.648 2.648 9.693
angles (deg): 90.00 90.00 90.00
Positions (direct):
K (0.000, 0.000, 0.000)
Co (0.000, 0.000, 0.500)
Re (0.500, 0.500, 0.311)
Re (0.500, 0.500, 0.689)